{"formula": "ScB6Rh12", "functional": "GGA-PBE", "state": "relaxed", "vol_a3_per_cell": 228.8, "delta_e_f_ev_per_atom": -0.341, "lattice_angstrom": [[-3.8529, 3.8529, 3.8529], [3.8529, -3.8529, 3.8529], [3.8529, 3.8529, -3.8529]], "species": ["Sc", "B", "B", "B", "B", "B", "B", "Rh", "Rh", "Rh", "Rh", "Rh", "Rh", "Rh", "Rh", "Rh", "Rh", "Rh", "Rh"], "frac_coords": [[0.0000, 0.0000, 0.0000], [0.1174, 0.5000, 0.6174], [0.3826, 0.8826, 0.5000], [0.5000, 0.3826, 0.8826], [0.5000, 0.6174, 0.1174], [0.6174, 0.1174, 0.5000], [0.8826, 0.5000, 0.3826], [0.1279, 0.3107, 0.8172], [0.1828, 0.4934, 0.3107], [0.1828, 0.8721, 0.6893], [0.3107, 0.1828, 0.4934], [0.3107, 0.8172, 0.1279], [0.4934, 0.3107, 0.1828], [0.5066, 0.6893, 0.8172], [0.6893, 0.1828, 0.8721], [0.6893, 0.8172, 0.5066], [0.8172, 0.1279, 0.3107], [0.8172, 0.5066, 0.6893], [0.8721, 0.6893, 0.1828]]}

{"formula": "PtCl2O", "functional": "GGA-PBE", "state": "relaxed", "formation_energy_uncorrected_mev_per_atom": 976, "vol_a3_per_cell": 244.0, "lattice_angstrom": [[6.2487, 0.0000, 0.0000], [0.0000, 6.2487, 0.0000], [0.0000, 0.0000, 6.2487]], "species": ["Pt", "Pt", "Pt", "Pt", "Cl", "Cl", "Cl", "Cl", "Cl", "Cl", "Cl", "Cl", "O", "O", "O", "O"], "frac_coords": [[0.0000, 0.0000, 0.0000], [0.0000, 0.5000, 0.5000], [0.5000, 0.0000, 0.5000], [0.5000, 0.5000, 0.0000], [0.2500, 0.2500, 0.2500], [0.2500, 0.2500, 0.7500], [0.2500, 0.7500, 0.2500], [0.2500, 0.7500, 0.7500], [0.7500, 0.2500, 0.2500], [0.7500, 0.2500, 0.7500], [0.7500, 0.7500, 0.2500], [0.7500, 0.7500, 0.7500], [0.0000, 0.0000, 0.5000], [0.0000, 0.5000, 0.0000], [0.5000, 0.0000, 0.0000], [0.5000, 0.5000, 0.5000]]}

{"formula": "Na3Ho3NpS8", "functional": "GGA-PBE", "state": "relaxed", "formation_energy_uncorrected_mev_per_atom": -1719, "vol_a3_per_cell": 367.4, "lattice_angstrom": [[3.9752, 2.2951, 6.7112], [-3.9752, 2.2951, 6.7112], [0.0000, -4.5902, 6.7112]], "species": ["Na", "Na", "Na", "Ho", "Ho", "Ho", "Np", "S", "S", "S", "S", "S", "S", "S", "S"], "frac_coords": [[0.0000, 0.5000, 0.5000], [0.5000, 0.0000, 0.5000], [0.5000, 0.5000, 0.0000], [0.0000, 0.0000, 0.5000], [0.0000, 0.5000, 0.0000], [0.5000, 0.0000, 0.0000], [0.5000, 0.5000, 0.5000], [0.2417, 0.2417, 0.2417], [0.2442, 0.7376, 0.7376], [0.2624, 0.2624, 0.7558], [0.2624, 0.7558, 0.2624], [0.7376, 0.2442, 0.7376], [0.7376, 0.7376, 0.2442], [0.7558, 0.2624, 0.2624], [0.7583, 0.7583, 0.7583]]}

{"formula": "PmNiI6", "functional": "GGA-PBE", "state": "relaxed", "formation_energy_uncorrected_mev_per_atom": -580, "vol_a3_per_cell": 301.1, "lattice_angstrom": [[7.2400, 0.0000, 0.0000], [-3.6188, 6.2796, 0.0000], [-3.6142, -2.0897, 6.6222]], "species": ["Pm", "Ni", "I", "I", "I", "I", "I", "I"], "frac_coords": [[0.0000, 0.0000, 0.0000], [0.0000, 0.5000, 0.5000], [0.1557, 0.4324, 0.2655], [0.1670, 0.2767, 0.7347], [0.4579, 0.8901, 0.7345], [0.5421, 0.1099, 0.2655], [0.8330, 0.7233, 0.2653], [0.8443, 0.5676, 0.7345]]}

{"formula": "Be3SiAu", "functional": "GGA-PBE", "state": "relaxed", "relative_energy_mev_per_atom": 33, "formation_energy_uncorrected_mev_per_atom": 766, "vol_a3_per_cell": 81.7, "lattice_angstrom": [[4.3389, 0.0000, 0.0000], [0.0000, 4.3389, 0.0000], [0.0000, 0.0000, 4.3389]], "species": ["Be", "Be", "Be", "Si", "Au"], "frac_coords": [[0.0000, 0.0000, 0.5000], [0.0000, 0.5000, 0.0000], [0.5000, 0.0000, 0.0000], [0.5000, 0.5000, 0.5000], [0.0000, 0.0000, 0.0000]]}

{"formula": "Th4Os2I", "functional": "GGA-PBE", "state": "relaxed", "formation_energy_uncorrected_mev_per_atom": -457, "vol_a3_per_cell": 219.8, "lattice_angstrom": [[2.1024, 1.2138, 14.3561], [-2.1024, 1.2138, 14.3561], [0.0000, -2.4276, 14.3561]], "species": ["Th", "Th", "Th", "Th", "Os", "Os", "I"], "frac_coords": [[0.1297, 0.1297, 0.1297], [0.2716, 0.2716, 0.2716], [0.7284, 0.7284, 0.7284], [0.8703, 0.8703, 0.8703], [0.4291, 0.4291, 0.4291], [0.5709, 0.5709, 0.5709], [0.0000, 0.0000, 0.0000]]}

{"formula": "SrSc2Mn", "functional": "GGA-PBE", "state": "relaxed", "relative_energy_mev_per_atom": 143, "vol_a3_per_cell": 210.6, "delta_e_f_ev_per_atom": 0.346, "lattice_angstrom": [[3.4393, 0.0000, 0.0000], [0.0000, 5.5545, 0.0000], [0.0000, 0.0000, 11.0228]], "species": ["Sr", "Sr", "Sc", "Sc", "Sc", "Sc", "Mn", "Mn"], "frac_coords": [[0.0000, 0.0000, 0.0000], [0.5000, 0.5000, 0.5000], [0.0000, 0.5000, 0.2065], [0.0000, 0.5000, 0.7935], [0.5000, 0.0000, 0.2935], [0.5000, 0.0000, 0.7065], [0.0000, 0.0000, 0.5000], [0.5000, 0.5000, 0.0000]]}

{"formula": "PdPb2I2O2", "functional": "GGA-PBE", "state": "relaxed", "formation_energy_uncorrected_mev_per_atom": -688, "vol_a3_per_cell": 349.5, "lattice_angstrom": [[12.3026, 0.0000, 0.0000], [0.0000, 4.0750, 0.0000], [-4.2557, 0.0000, 6.9721]], "species": ["Pd", "Pd", "Pb", "Pb", "Pb", "Pb", "I", "I", "I", "I", "O", "O", "O", "O"], "frac_coords": [[0.0000, 0.0000, 0.0000], [0.5000, 0.5000, 0.0000], [0.1958, 0.0000, 0.7825], [0.3042, 0.5000, 0.2175], [0.6958, 0.5000, 0.7825], [0.8042, 0.0000, 0.2175], [0.0617, 0.5000, 0.2992], [0.4383, 0.0000, 0.7008], [0.5617, 0.0000, 0.2992], [0.9383, 0.5000, 0.7008], [0.1861, 0.0000, 0.0631], [0.3139, 0.5000, 0.9369], [0.6861, 0.5000, 0.0631], [0.8139, 0.0000, 0.9369]]}

{"formula": "NiPd2Ru", "functional": "GGA-PBE", "state": "relaxed", "relative_energy_mev_per_atom": 489, "vol_a3_per_cell": 247.2, "delta_e_f_ev_per_atom": 0.641, "lattice_angstrom": [[6.8702, 0.0000, 0.0000], [0.0000, 6.8702, 0.0000], [0.0000, 0.0000, 5.2373]], "species": ["Ni", "Ni", "Ni", "Ni", "Pd", "Pd", "Pd", "Pd", "Pd", "Pd", "Pd", "Pd", "Ru", "Ru", "Ru", "Ru"], "frac_coords": [[0.0000, 0.0000, 0.0000], [0.0000, 0.5000, 0.2500], [0.5000, 0.0000, 0.7500], [0.5000, 0.5000, 0.5000], [0.2354, 0.2500, 0.1250], [0.2500, 0.7354, 0.3750], [0.2500, 0.7646, 0.8750], [0.2646, 0.2500, 0.6250], [0.7354, 0.7500, 0.6250], [0.7500, 0.2354, 0.8750], [0.7500, 0.2646, 0.3750], [0.7646, 0.7500, 0.1250], [0.0000, 0.0000, 0.5000], [0.0000, 0.5000, 0.7500], [0.5000, 0.0000, 0.2500], [0.5000, 0.5000, 0.0000]]}

{"formula": "Ba2YbPaO6", "functional": "GGA-PBE", "state": "relaxed", "formation_energy_uncorrected_mev_per_atom": -3128, "vol_a3_per_cell": 172.5, "lattice_angstrom": [[0.0000, 4.4180, 4.4180], [4.4180, 0.0000, 4.4180], [4.4180, 4.4180, 0.0000]], "species": ["Ba", "Ba", "Yb", "Pa", "O", "O", "O", "O", "O", "O"], "frac_coords": [[0.2500, 0.2500, 0.2500], [0.7500, 0.7500, 0.7500], [0.0000, 0.0000, 0.0000], [0.5000, 0.5000, 0.5000], [0.2544, 0.2544, 0.7456], [0.2544, 0.7456, 0.2544], [0.2544, 0.7456, 0.7456], [0.7456, 0.2544, 0.2544], [0.7456, 0.2544, 0.7456], [0.7456, 0.7456, 0.2544]]}

{"formula": "SrAlTl2Ge", "functional": "GGA-PBE", "state": "relaxed", "vol_a3_per_cell": 178.3, "delta_e_f_ev_per_atom": 0.331, "lattice_angstrom": [[5.4566, 0.0000, 0.0000], [0.0000, 5.4566, 0.0000], [0.0000, 0.0000, 5.9873]], "species": ["Sr", "Al", "Tl", "Tl", "Ge"], "frac_coords": [[0.0000, 0.0000, 0.0000], [0.5000, 0.5000, 0.0000], [0.0000, 0.5000, 0.5000], [0.5000, 0.0000, 0.5000], [0.0000, 0.0000, 0.5000]]}

{"formula": "Li3YBr6", "functional": "GGA-PBE", "state": "relaxed", "relative_energy_mev_per_atom": 0, "formation_energy_uncorrected_mev_per_atom": -1659, "vol_a3_per_cell": 546.7, "lattice_angstrom": [[3.4855, -5.9898, 0.0000], [3.4855, 5.9898, 0.0000], [-2.3140, 0.0000, 13.0919]], "species": ["Li", "Li", "Li", "Li", "Li", "Li", "Y", "Y", "Br", "Br", "Br", "Br", "Br", "Br", "Br", "Br", "Br", "Br", "Br", "Br"], "frac_coords": [[0.0895, 0.9105, 0.7500], [0.1557, 0.3123, 0.9988], [0.3123, 0.1557, 0.4988], [0.6877, 0.8443, 0.5012], [0.8443, 0.6877, 0.0012], [0.9105, 0.0895, 0.2500], [0.0000, 0.5000, 0.5000], [0.5000, 0.0000, 0.0000], [0.0411, 0.2040, 0.6213], [0.1177, 0.6344, 0.8806], [0.2040, 0.0411, 0.1213], [0.2837, 0.4404, 0.3793], [0.3656, 0.8823, 0.6194], [0.4404, 0.2837, 0.8793], [0.5596, 0.7163, 0.1207], [0.6344, 0.1177, 0.3806], [0.7163, 0.5596, 0.6207], [0.7960, 0.9589, 0.8787], [0.8823, 0.3656, 0.1194], [0.9589, 0.7960, 0.3787]]}

VASP energy, record by record: -7.426 -2.697 -5.962 -3.059 -3.210 -8.127 -5.533 -4.348 -5.719 -7.590 -2.624 -3.883 eV per atom